1.
Density functional theory data (PBE-GGA) for crystalline Nd8SnBi4Te3 at its relaxed geometry.

```
data_Nd8SnBi4Te3
_chemical_formula_sum 'Nd24 Sn3 Bi12 Te9'
_symmetry_space_group_name_H-M 'R -3 m'
_symmetry_Int_Tables_number 166
_symmetry_space_group_name_Hall '-R 3 2"'
_cell_length_a 9.1290
_cell_length_b 9.1290
_cell_length_c 22.3278
_cell_angle_alpha 90.00
_cell_angle_beta 90.00
_cell_angle_gamma 120.00
loop_
_atom_site_label
_atom_site_fract_x
_atom_site_fract_y
_atom_site_fract_z
_atom_site_occupancy
Nd1 0.0000 0.0000 0.2488 1
Nd2 0.0050 0.5025 0.7491 1
Sn1 0.0000 0.0000 0.0000 1
Bi1 0.0000 0.0000 0.5000 1
Bi2 0.0000 0.5000 0.5000 1
Te1 0.0000 0.5000 0.0000 1
```

2.
Density functional theory data (PBE-GGA) for crystalline ScGePd6 at its relaxed geometry.

Calculated values
**E above lowest polymorph**: 0.000 eV per atom
**Formation enthalpy at 0 K**: -443 kJ/mol of formula units

```
data_ScGePd6
_chemical_formula_sum 'Sc2 Ge2 Pd12'
_symmetry_space_group_name_H-M 'A m m 2'
_symmetry_Int_Tables_number 38
_cell_length_a 3.981
_cell_length_b 7.603
_cell_length_c 8.309
_cell_angle_alpha 90.00
_cell_angle_beta 90.00
_cell_angle_gamma 90.00
loop_
_symmetry_equiv_pos_as_xyz
'x,y,z'
'-x,-y,z'
'-x,y,z'
'x,-y,z'
'x,y+1/2,z+1/2'
'-x,-y+1/2,z+1/2'
'-x,y+1/2,z+1/2'
'x,-y+1/2,z+1/2'
loop_
_atom_site_label
_atom_site_fract_x
_atom_site_fract_y
_atom_site_fract_z
_atom_site_occupancy
Sc1 0.000 0.000 0.000 1
Ge1 0.500 0.000 0.686 1
Pd1 0.000 0.000 0.462 1
Pd2 0.000 0.223 0.727 1
Pd3 0.500 0.000 0.224 1
Pd4 0.500 0.241 0.969 1
```

| no. | calculated total energy (eV/atom) | magnetization (μB/atom) | D(E_F) (states/eV per cell) |
| --- | --- | --- | --- |
| 1 | -5.33 | 0.0000 | 7.00 |
| 2 | -5.84 | 0.0000 | 5.32 |